Computed, not measured: a relaxed structure of LiSc3In at the PBE level of DFT.

The calculation puts the density of states at the Fermi level at 5.189 states/eV/f.u. The calculation puts the calculated total energy at -4.38 eV/atom. The calculation puts the excess energy over the best structure of this formula in the dataset at 0 meV per atom. For the total magnetic moment, the calculation gives 2.3 μB per cell. Its energy of formation is 1.8 eV per formula unit.

The space group is Pm-3m (No. 221) and the conventional cell measures 4.9175, 4.9175 and 4.9175 Å, with angles of 90.00, 90.00 and 90.00 degrees. Symmetry generates all atoms from Li at (0.0000, 0.0000, 0.0000), Sc at (0.0000, 0.0000, 0.5000) and In at (0.5000, 0.5000, 0.5000).